No. 1
Here is a relaxed GaCo2WCl crystal from Alexandria via LeMat-Bulk. Energies are from PBE.

Properties
The value obtained for the density is 9.2 g cm⁻³. For the density of states at the Fermi level, the calculation gives 0.614 states/eV/atom. The value obtained for the total energy is -5.434 eV/atom. The volume is 73.6 Å³/cell. As for the total magnetic moment: 0.15 μB per formula unit.

Lattice parameters (Å, degrees): 4.045 4.045 4.496 90.00 90.00 90.00
Space group P4/mmm (No. 123)
Inequivalent atoms, fractional coordinates:
Ga 0.000 0.000 0.000
Co 0.000 0.500 0.500
W 0.500 0.500 0.000
Cl 0.500 0.500 0.500


No. 2
Here is a relaxed Nd2Tm8Mg crystal from Alexandria via LeMat-Bulk. Energies are from PBE.

Properties
The value obtained for the density is 8.1 g cm⁻³. As for the formation energy: 0.143 eV per atom. For the density of states at the Fermi level, the calculation gives 1.465 states/eV/atom. The value obtained for the energy relative to the lowest polymorph listed for this composition is 29 meV per atom. The value obtained for the total energy is -4.121 eV/atom. The volume is 685.7 Å³/cell. As for the total magnetic moment: 0.00 μB per formula unit.

Lattice parameters (Å, degrees): 16.233 6.541 6.595 90.00 101.70 90.00
Space group C2/m (No. 12)
Inequivalent atoms, fractional coordinates:
Nd 0.187 0.000 0.295
Tm 0.081 0.260 0.888
Tm 0.092 0.500 0.414
Tm 0.246 0.000 0.816
Mg 0.000 0.000 0.500


No. 3
Here is a relaxed Y2MgOs2 crystal from Alexandria via LeMat-Bulk. Energies are from PBE.

Properties
The value obtained for the density is 8.8 g cm⁻³. As for the formation energy: -0.060 eV per atom. For the density of states at the Fermi level, the calculation gives 0.699 states/eV/atom. The value obtained for the total energy is -7.456 eV/atom. The volume is 219.3 Å³/cell. As for the total magnetic moment: 0.00 μB per formula unit.

Lattice parameters (Å, degrees): 7.097 7.097 4.354 90.00 90.00 90.00
Space group P4/mbm (No. 127)
Inequivalent atoms, fractional coordinates:
Y 0.176 0.324 0.000
Mg 0.000 0.000 0.500
Os 0.120 0.620 0.500


No. 4
Here is a relaxed ZrBe2Os crystal from Alexandria via LeMat-Bulk. Energies are from PBE.

Properties
The value obtained for the density is 9.2 g cm⁻³. As for the formation energy: -0.060 eV per atom. For the density of states at the Fermi level, the calculation gives 0.223 states/eV/atom. The value obtained for the energy relative to the lowest polymorph listed for this composition is 283 meV per atom. The value obtained for the total energy is -6.868 eV/atom. The volume is 107.7 Å³/cell. As for the total magnetic moment: 0.00 μB per formula unit.

Lattice parameters (Å, degrees): 9.024 3.193 4.229 90.00 117.85 90.00
Space group Cm (No. 8)
Inequivalent atoms, fractional coordinates:
Zr 0.000 0.000 0.000
Be 0.274 0.500 0.275
Be 0.467 0.000 0.467
Os 0.221 0.000 0.721


No. 5
Here is a relaxed RbY3Tc crystal from Alexandria via LeMat-Bulk. Energies are from PBE.

Properties
The value obtained for the density is 4.3 g cm⁻³. As for the formation energy: 0.294 eV per atom. For the density of states at the Fermi level, the calculation gives 1.222 states/eV/atom. The value obtained for the energy relative to the lowest polymorph listed for this composition is 0 meV per atom. The value obtained for the total energy is -5.851 eV/atom. The volume is 173.4 Å³/cell. As for the total magnetic moment: 0.00 μB per formula unit.

Lattice parameters (Å, degrees): 5.577 5.577 5.577 90.00 90.00 90.00
Space group Pm-3m (No. 221)
Inequivalent atoms, fractional coordinates:
Rb 0.000 0.000 0.000
Y 0.000 0.500 0.500
Tc 0.500 0.500 0.500


No. 6
Here is a relaxed TbAl2Cu5 crystal from Alexandria via LeMat-Bulk. Energies are from PBE.

Properties
The value obtained for the density is 7.0 g cm⁻³. As for the formation energy: -0.193 eV per atom. For the density of states at the Fermi level, the calculation gives 0.435 states/eV/atom. The value obtained for the total energy is -4.268 eV/atom. The volume is 252.0 Å³/cell. As for the total magnetic moment: 0.00 μB per formula unit.

Lattice parameters (Å, degrees): 3.803 6.710 9.874 90.00 90.00 90.00
Space group Immm (No. 71)
Inequivalent atoms, fractional coordinates:
Tb 0.000 0.000 0.000
Al 0.000 0.500 0.247
Cu 0.000 0.186 0.371
Cu 0.000 0.500 0.000